No. 1
The following is a GGA-PBE calculation of crystalline MnCdSb2 at its relaxed geometry, from Alexandria via LeMat-Bulk.

Size of the total moment: 8.4 μB/cell
E_form (uncorrected): 0.284 eV per atom

Lattice parameters (Å, degrees): 7.663 7.650 3.198 90.00 94.06 90.00
Fractional coordinates of all 8 atoms:
Mn1 0.000 0.000 0.000
Mn2 0.500 0.500 0.000
Cd1 0.000 0.500 0.000
Cd2 0.500 0.000 0.000
Sb1 0.250 0.250 0.500
Sb2 0.250 0.750 0.500
Sb3 0.750 0.250 0.500
Sb4 0.750 0.750 0.500



No. 2
The following is a GGA-PBE calculation of crystalline TbZrMo at its relaxed geometry, from Alexandria via LeMat-Bulk.

Size of the total moment: 0.0 μB/cell
Energy of formation from the pure elements: 0.27 eV per atom

Lattice parameters (Å, degrees): 14.916 14.916 14.916 12.69 12.69 12.69
Fractional coordinates of all 6 atoms:
Tb1 0.132 0.132 0.132
Tb2 0.868 0.868 0.868
Zr1 0.403 0.403 0.403
Zr2 0.597 0.597 0.597
Mo1 0.314 0.314 0.314
Mo2 0.686 0.686 0.686



No. 3
The following is a GGA-PBE calculation of crystalline MgBeMo2 at its relaxed geometry, from Alexandria via LeMat-Bulk.

Size of the total moment: 0.0 μB/cell
Energy of formation from the pure elements: 0.42 eV per atom

Lattice parameters (Å, degrees): 2.656 4.052 5.701 90.00 90.00 90.00
Fractional coordinates of all 4 atoms:
Mg1 0.000 0.000 0.000
Be1 0.500 0.500 0.754
Mo1 0.000 0.000 0.522
Mo2 0.500 0.500 0.288



No. 4
The following is a GGA-PBE calculation of crystalline CdH2 at its relaxed geometry, from Alexandria via LeMat-Bulk.

Size of the total moment: 0.0 μB/cell
E_tot: -12.2 eV per cell

Lattice parameters (Å, degrees): 3.505 3.505 10.036 90.00 90.00 120.00
Fractional coordinates of all 6 atoms:
Cd1 0.333 0.667 0.250
Cd2 0.667 0.333 0.750
H1 0.333 0.667 0.082
H2 0.333 0.667 0.418
H3 0.667 0.333 0.582
H4 0.667 0.333 0.918



No. 5
The following is a GGA-PBE calculation of crystalline Sr2CeS3 at its relaxed geometry, from Alexandria via LeMat-Bulk.

Size of the total moment: 2.6 μB/cell
E_form (uncorrected): -2.025 eV per atom

Lattice parameters (Å, degrees): 4.183 5.941 12.674 90.00 90.00 90.00
Fractional coordinates of all 12 atoms:
Sr1 0.000 0.000 0.168
Sr2 0.000 0.000 0.832
Sr3 0.500 0.500 0.332
Sr4 0.500 0.500 0.668
Ce1 0.000 0.000 0.500
Ce2 0.500 0.500 0.000
S1 0.000 0.500 0.160
S2 0.000 0.500 0.500
S3 0.000 0.500 0.840
S4 0.500 0.000 0.000
S5 0.500 0.000 0.340
S6 0.500 0.000 0.660



No. 6
The following is a GGA-PBE calculation of crystalline AcSm3C8 at its relaxed geometry, from Alexandria via LeMat-Bulk.

Size of the total moment: 0.0 μB/cell
Energy of formation from the pure elements: 0.13 eV per atom

Lattice parameters (Å, degrees): 6.468 6.468 6.468 112.84 112.84 102.92
Fractional coordinates of all 12 atoms:
Ac1 0.000 0.000 0.000
Sm1 0.250 0.750 0.500
Sm2 0.500 0.500 0.000
Sm3 0.750 0.250 0.500
C1 0.084 0.084 0.648
C2 0.118 0.574 0.000
C3 0.426 0.426 0.544
C4 0.436 0.436 0.352
C5 0.564 0.916 0.000
C6 0.574 0.118 0.000
C7 0.882 0.882 0.456
C8 0.916 0.564 0.000



No. 7
The following is a GGA-PBE calculation of crystalline Co2NiHgB at its relaxed geometry, from Alexandria via LeMat-Bulk.

Size of the total moment: 4.2 μB/cell
Energy of formation from the pure elements: 0.98 eV per atom

Lattice parameters (Å, degrees): 4.459 4.459 3.720 90.00 90.00 90.00
Fractional coordinates of all 5 atoms:
Co1 0.000 0.500 0.000
Co2 0.500 0.000 0.000
Ni1 0.000 0.000 0.000
Hg1 0.500 0.500 0.500
B1 0.000 0.000 0.500



No. 8
The following is a GGA-PBE calculation of crystalline GeHI3 at its relaxed geometry, from Alexandria via LeMat-Bulk.

Size of the total moment: 0.0 μB/cell
E_tot: -9.2 eV per cell

Lattice parameters (Å, degrees): 5.131 5.131 5.131 90.00 90.00 90.00
Fractional coordinates of all 5 atoms:
Ge1 0.000 0.000 0.000
H1 0.500 0.500 0.500
I1 0.000 0.500 0.500
I2 0.500 0.000 0.500
I3 0.500 0.500 0.000



No. 9
The following is a GGA-PBE calculation of crystalline VSiNi at its relaxed geometry, from Alexandria via LeMat-Bulk.

Size of the total moment: 0.0 μB/cell
E_form (uncorrected): -0.576 eV per atom

Lattice parameters (Å, degrees): 5.997 3.529 6.941 90.00 90.00 90.00
Fractional coordinates of all 12 atoms:
V1 0.027 0.250 0.164
V2 0.473 0.750 0.664
V3 0.527 0.250 0.336
V4 0.973 0.750 0.836
Si1 0.229 0.750 0.369
Si2 0.271 0.250 0.869
Si3 0.729 0.750 0.131
Si4 0.771 0.250 0.631
Ni1 0.147 0.250 0.560
Ni2 0.353 0.750 0.060
Ni3 0.647 0.250 0.940
Ni4 0.853 0.750 0.440



No. 10
The following is a GGA-PBE calculation of crystalline Na4Bi2H at its relaxed geometry, from Alexandria via LeMat-Bulk.

Size of the total moment: 0.0 μB/cell
E_tot: -34.7 eV per cell

Lattice parameters (Å, degrees): 5.444 5.444 14.089 90.00 90.00 90.00
Fractional coordinates of all 14 atoms:
Na1 0.000 0.000 0.156
Na2 0.000 0.000 0.844
Na3 0.000 0.500 0.000
Na4 0.000 0.500 0.500
Na5 0.500 0.000 0.000
Na6 0.500 0.000 0.500
Na7 0.500 0.500 0.344
Na8 0.500 0.500 0.656
Bi1 0.000 0.000 0.389
Bi2 0.000 0.000 0.611
Bi3 0.500 0.500 0.111
Bi4 0.500 0.500 0.889
H1 0.000 0.000 0.000
H2 0.500 0.500 0.500